Record 1
The following is a DFT calculation (PBE) of crystalline Nb3Pt7 at its relaxed geometry.

a b c (Å): 14.5076 3.9797 5.6893
angles (deg): 90.00 100.41 90.00
Space group C2/m (No. 12)
Unique sites:
Nb (0.0000, 0.0000, 0.0000) (multiplicity 2)
Nb (0.2017, 0.0000, 0.6117) (multiplicity 4)
Pt (0.0000, 0.0000, 0.5000) (multiplicity 2)
Pt (0.0961, 0.5000, 0.7975) (multiplicity 4)
Pt (0.1007, 0.5000, 0.3010) (multiplicity 4)
Pt (0.1986, 0.0000, 0.1078) (multiplicity 4)

Computed properties:
calculated volume: 323.1 Å³/cell
DFT total energy: -7.8391 eV/atom
total moment: 0.00 μB per formula unit
formation energy from the elements: -590 meV/atom


Record 2
The following is a DFT calculation (PBE) of crystalline YPuAlAu at its relaxed geometry.

a b c (Å): 7.2803 7.2803 7.2803
angles (deg): 90.00 90.00 90.00
Space group F-43m (No. 216)
Unique sites:
Y (0.0000, 0.0000, 0.0000) (multiplicity 4)
Pu (0.0000, 0.0000, 0.5000) (multiplicity 4)
Al (0.2500, 0.2500, 0.2500) (multiplicity 4)
Au (0.2500, 0.2500, 0.7500) (multiplicity 4)

Computed properties:
calculated volume: 385.9 Å³/cell
DFT total energy: -7.3052 eV/atom
total moment: 5.72 μB per formula unit
formation energy from the elements: -351 meV/atom


Record 3
The following is a DFT calculation (PBE) of crystalline Ac2TeF4 at its relaxed geometry.

a b c (Å): 4.3886 4.3886 25.2824
angles (deg): 90.00 90.00 120.00
Space group R-3m (No. 166, hexagonal axes)
Unique sites:
Ac (0.0000, 0.0000, 0.2394) (multiplicity 6)
Te (0.0000, 0.0000, 0.0000) (multiplicity 3)
F (0.0000, 0.0000, 0.1393) (multiplicity 6)
F (0.0000, 0.0000, 0.4344) (multiplicity 6)

Computed properties:
formation energy without anion corrections: -3.633 eV per atom
calculated volume: 421.7 Å³/cell
energy above the lowest structure with this stoichiometry: 0 meV per atom
DFT total energy: -6.3251 eV/atom
total moment: 0.00 μB per formula unit


Record 4
The following is a DFT calculation (PBE) of crystalline SrMoW2 at its relaxed geometry.

a b c (Å): 2.9487 4.2595 7.1471
angles (deg): 90.00 101.33 90.00
Space group P2/m (No. 10)
Unique sites:
Sr (0.0000, 0.0000, 0.0000) (multiplicity 1)
Mo (0.0000, 0.0000, 0.5000) (multiplicity 1)
W (0.4269, 0.5000, 0.6628) (multiplicity 2)

Computed properties:
calculated volume: 88.0 Å³/cell
energy above the lowest structure with this stoichiometry: 90 meV per atom
DFT total energy: -8.7779 eV/atom
total moment: 0.00 μB per formula unit
formation energy from the elements: 827 meV/atom


Record 5
The following is a DFT calculation (PBE) of crystalline Sr2Sc at its relaxed geometry.

a b c (Å): 6.1766 6.1766 3.6335
angles (deg): 90.00 90.00 120.00
Space group P6/mmm (No. 191)
Unique sites:
Sr (0.3333, 0.6667, 0.0000) (multiplicity 2)
Sc (0.0000, 0.0000, 0.5000) (multiplicity 1)

Computed properties:
calculated volume: 120.0 Å³/cell
energy above the lowest structure with this stoichiometry: 169 meV per atom
DFT total energy: -2.8487 eV/atom
total moment: 1.06 μB per formula unit
formation energy from the elements: 383 meV/atom


Record 6
The following is a DFT calculation (PBE) of crystalline LiTaW2 at its relaxed geometry.

a b c (Å): 5.4645 9.1057 2.6313
angles (deg): 90.00 90.00 90.00
Space group Cmmm (No. 65)
Unique sites:
Li (0.0000, 0.0000, 0.0000) (multiplicity 2)
Ta (0.0000, 0.5000, 0.0000) (multiplicity 2)
W (0.2500, 0.2500, 0.5000) (multiplicity 4)

Computed properties:
calculated volume: 130.9 Å³/cell
energy above the lowest structure with this stoichiometry: 180 meV per atom
DFT total energy: -9.4857 eV/atom
total moment: 0.00 μB per formula unit
formation energy from the elements: 433 meV/atom


Record 7
The following is a DFT calculation (PBE) of crystalline MnCrTe at its relaxed geometry.

a b c (Å): 6.7921 3.9214 8.2462
angles (deg): 90.00 90.07 90.00
Space group C2/m (No. 12)
Unique sites:
Mn (0.0000, 0.0000, 0.1374) (multiplicity 4)
Cr (0.1664, 0.5000, 0.9381) (multiplicity 4)
Te (0.1674, 0.5000, 0.2985) (multiplicity 4)

Computed properties:
formation energy without anion corrections: 0.008 eV per atom
calculated volume: 219.6 Å³/cell
energy above the lowest structure with this stoichiometry: 0 meV per atom
DFT total energy: -7.3033 eV/atom
total moment: 0.18 μB per formula unit


Record 8
The following is a DFT calculation (PBE) of crystalline Zn2Ni2Ru at its relaxed geometry.

a b c (Å): 7.0194 7.0194 2.5948
angles (deg): 90.00 90.00 90.00
Space group P4/mbm (No. 127)
Unique sites:
Zn (0.1743, 0.3257, 0.0000) (multiplicity 4)
Ni (0.1225, 0.6225, 0.5000) (multiplicity 4)
Ru (0.0000, 0.0000, 0.5000) (multiplicity 2)

Computed properties:
calculated volume: 127.9 Å³/cell
energy above the lowest structure with this stoichiometry: 50 meV per atom
DFT total energy: -4.5936 eV/atom
total moment: 0.00 μB per formula unit
formation energy from the elements: 84 meV/atom